1.
VASP calculation (GGA-PBE) on V3GaH after structural relaxation.

Values from the calculation:
**VASP energy**: -6.20 eV per atom
**Density**: 4.6 Mg/m³
**Size of the total moment**: 0.0001 μB per atom

Structure (POSCAR):
```
V3GaH
1.0
2.436 0.000 0.000
0.000 2.440 6.789
0.000 -2.440 6.789
V Ga H
3 1 1
direct
0.000 0.000 0.000 V
0.500 0.100 0.600 V
0.500 0.600 0.100 V
0.500 0.173 0.173 Ga
0.000 0.782 0.782 H
```


2.
VASP calculation (GGA-PBE) on V5Ga5H2 after structural relaxation.

Values from the calculation:
**VASP energy**: -5.80 eV per atom
**Density**: 6.8 Mg/m³
**Size of the total moment**: 0.0000 μB per atom

Structure (POSCAR):
```
V5Ga5H2
1.0
4.547 -1.715 0.000
4.547 1.715 0.000
-0.621 0.000 9.469
V Ga H
5 5 2
direct
0.000 0.000 0.000 V
0.095 0.095 0.688 V
0.397 0.397 0.812 V
0.603 0.603 0.188 V
0.905 0.905 0.312 V
0.203 0.203 0.394 Ga
0.310 0.310 0.105 Ga
0.500 0.500 0.500 Ga
0.690 0.690 0.895 Ga
0.797 0.797 0.606 Ga
0.041 0.041 0.188 H
0.959 0.959 0.812 H
```


Question: Which of these has the lowest VASP energy?
Answer: V3GaH


Question: Look up the size of the total moment of the first one.
Answer: 0.0001 μB per atom


Question: The lowest VASP energy belongs to which entry?
Answer: V3GaH